# CaDyTm | Alexandria via LeMat-Bulk | PBE | optimized geometry
data_CaDyTm
_space_group_name_H-M_alt 'I 4 m m'
_space_group_IT_number 107
_space_group_name_Hall 'I 4 -2'
_cell_length_a 3.610
_cell_length_b 3.610
_cell_length_c 15.491
_cell_angle_alpha 90.00
_cell_angle_beta 90.00
_cell_angle_gamma 90.00
loop_
_atom_site_label
_atom_site_type_symbol
_atom_site_fract_x
_atom_site_fract_y
_atom_site_fract_z
_atom_site_occupancy
Ca1 Ca 0.000 0.000 0.000 1
Dy1 Dy 0.000 0.000 0.322 1
Tm1 Tm 0.000 0.000 0.676 1
# Energy relative to the elements = 78 meV/atom
# Relative energy among the computed polymorphs = 5 meV/atom
# Density of states at the Fermi level = 9.38 states/eV/cell
# Mass density = 6.112 Mg/m³